Here is an optimized crystal structure of AlCuPt2 from OQMD. Energies are from PBE-GGA.

Computed properties:
symmetry	F-43m
M_tot	0.000	μB per atom
final energy	-5.3247	eV/atom

Unit cell a=4.360 b=4.360 c=4.360 alpha=60.00 beta=60.00 gamma=60.00
Atoms (fractional coordinates):
1 Pt 0.000 0.000 0.000
2 Al 0.500 0.500 0.500
3 Pt 0.750 0.750 0.750
4 Cu 0.250 0.250 0.250